TcTeIr2 | PBE-GGA | optimized geometry

```
TcTeIr2
1.0
-2.3945 -3.6707 2.1268
5.2806 -1.0970 -3.2438
2.4101 -0.6959 1.5145
Te Tc Ir
1 1 2
direct
0.5000 0.0000 0.5000
0.5000 0.5000 0.0000
0.0000 0.5000 0.5000
0.0000 0.0000 0.0000
```

## Properties
- SG: Cmmm (65)
- Formation energy (no corrections): 0.41 eV per atom

***

CoPOs2 | PBE-GGA | optimized geometry

```
CoPOs2
1.0
5.5050 0.3201 -0.0699
3.2089 4.4844 0.0699
-3.9530 -3.1349 2.2267
Co P Os
1 1 2
direct
0.2500 0.7500 0.5000
0.7500 0.2500 0.5000
0.9450 0.9450 0.0000
0.5550 0.5550 0.0000
```

## Properties
- SG: Immm (71)
- E_form: 80 meV per atom

***

Number 1: magnetic moment 0.00 μB/cell, E -7.3971 eV/atom. Number 2: magnetic moment 0.00 μB/cell, E -8.6634 eV/atom.